## TlCu2Ni2 (PBE)

Data for a relaxed structure of TlCu2Ni2.

a = 6.2969 Å, b = 6.2969 Å, c = 6.2969 Å
α = 146.88°, β = 146.88°, γ = 47.53°
Fractional coordinates of all 5 atoms:
Tl 0.0000 0.0000 0.0000
Cu 0.3921 0.3921 0.0000
Cu 0.6079 0.6079 0.0000
Ni 0.2500 0.7500 0.5000
Ni 0.7500 0.2500 0.5000

Output
Its density of states at the Fermi level is 3.8 states/eV/cell. The total energy is -4.068 eV per atom. The space-group type is I4/mmm, No. 139. As for the magnetization: 0.00 Bohr magnetons per cell. Its formation energy is 0.36 eV per atom. Its volume is 74.2 Å³/cell.


## Ac2Mg4CdAg3 (PBE)

Data for a relaxed structure of Ac2Mg4CdAg3.

a = 4.5958 Å, b = 4.5958 Å, c = 12.2568 Å
α = 90.00°, β = 90.00°, γ = 90.00°
Fractional coordinates of all 10 atoms:
Ac 0.0000 0.5000 0.2476
Ac 0.5000 0.0000 0.7524
Mg 0.0000 0.0000 0.0000
Mg 0.0000 0.5000 0.6349
Mg 0.5000 0.0000 0.3651
Mg 0.5000 0.5000 0.0000
Cd 0.0000 0.0000 0.5000
Ag 0.0000 0.5000 0.8614
Ag 0.5000 0.0000 0.1386
Ag 0.5000 0.5000 0.5000

Output
Its density of states at the Fermi level is 7.6 states/eV/cell. The total energy is -2.616 eV per atom. The space-group type is P-4m2, No. 115. As for the magnetization: 0.00 Bohr magnetons per cell. Its formation energy is -0.21 eV per atom. Its volume is 258.9 Å³/cell.


## TlH2IrCl8 (PBE)

Data for a relaxed structure of TlH2IrCl8.

a = 6.4471 Å, b = 6.7362 Å, c = 7.4938 Å
α = 88.94°, β = 89.31°, γ = 89.82°
Fractional coordinates of all 12 atoms:
Tl 0.0000 0.0000 0.0000
H 0.2590 0.2938 0.2386
H 0.7410 0.7062 0.7614
Ir 0.0000 0.0000 0.5000
Cl 0.1788 0.8240 0.2796
Cl 0.2115 0.8620 0.7219
Cl 0.2353 0.2685 0.4663
Cl 0.2779 0.3120 0.0455
Cl 0.7221 0.6880 0.9545
Cl 0.7647 0.7315 0.5337
Cl 0.7885 0.1380 0.2781
Cl 0.8212 0.1760 0.7204

Output
The total energy is -3.288 eV per atom. The space-group type is P-1, No. 2. As for the magnetization: 0.00 Bohr magnetons per cell. Its volume is 325.4 Å³/cell.


## ErZnNi (PBE)

Data for a relaxed structure of ErZnNi.

a = 6.9838 Å, b = 6.9838 Å, c = 3.7389 Å
α = 90.00°, β = 90.00°, γ = 120.00°
Fractional coordinates of all 9 atoms:
Er 0.0000 0.4094 0.0000
Er 0.4094 0.0000 0.0000
Er 0.5906 0.5906 0.0000
Zn 0.0000 0.7554 0.5000
Zn 0.2446 0.2446 0.5000
Zn 0.7554 0.0000 0.5000
Ni 0.0000 0.0000 0.0000
Ni 0.3333 0.6667 0.5000
Ni 0.6667 0.3333 0.5000

Output
Its density of states at the Fermi level is 6.6 states/eV/cell. The total energy is -4.348 eV per atom. The space-group type is P-62m, No. 189. As for the magnetization: 0.00 Bohr magnetons per cell. Its formation energy is -0.48 eV per atom. Its volume is 157.9 Å³/cell.


## YScPa2N4 (PBE)

Data for a relaxed structure of YScPa2N4.

a = 6.8622 Å, b = 6.8622 Å, c = 6.8622 Å
α = 120.13°, β = 119.81°, γ = 90.05°
Fractional coordinates of all 16 atoms:
Y 0.0000 0.0000 0.0000
Y 0.5000 0.0000 0.5000
Sc 0.5000 0.0000 0.0000
Sc 0.5000 0.5000 0.5000
Pa 0.0000 0.0000 0.5000
Pa 0.0000 0.5000 0.0000
Pa 0.0000 0.5000 0.5000
Pa 0.5000 0.5000 0.0000
N 0.2545 0.2607 0.5062
N 0.2546 0.7467 0.5078
N 0.2545 0.7484 0.9938
N 0.2611 0.2533 0.0078
N 0.7389 0.7467 0.9922
N 0.7455 0.2516 0.0062
N 0.7454 0.2533 0.4922
N 0.7455 0.7393 0.4938

Output
The calculation puts the uncorrected formation energy at -1.6584 eV/atom. Its density of states at the Fermi level is 8.1 states/eV/cell. The total energy is -9.795 eV per atom. The space-group type is Imma, No. 74. As for the magnetization: 0.00 Bohr magnetons per cell. Its volume is 228.6 Å³/cell.


## DySnRuAu (PBE)

Data for a relaxed structure of DySnRuAu.

a = 4.8181 Å, b = 4.8181 Å, c = 4.8181 Å
α = 60.00°, β = 60.00°, γ = 60.00°
Fractional coordinates of all 4 atoms:
Dy 0.0000 0.0000 0.0000
Sn 0.5000 0.5000 0.5000
Ru 0.7500 0.7500 0.7500
Au 0.2500 0.2500 0.2500

Output
Its density of states at the Fermi level is 3.6 states/eV/cell. The total energy is -5.622 eV per atom. The space-group type is F-43m, No. 216. As for the magnetization: 0.00 Bohr magnetons per cell. Its formation energy is -0.33 eV per atom. Its volume is 79.1 Å³/cell.


## CaLaPmMg (PBE)

Data for a relaxed structure of CaLaPmMg.

a = 3.7095 Å, b = 3.7095 Å, c = 9.9018 Å
α = 90.00°, β = 90.00°, γ = 90.00°
Fractional coordinates of all 4 atoms:
Ca 0.0000 0.0000 0.0000
La 0.5000 0.5000 0.7010
Pm 0.0000 0.0000 0.4459
Mg 0.5000 0.5000 0.2277

Output
Its density of states at the Fermi level is 5.2 states/eV/cell. The total energy is -3.339 eV per atom. The space-group type is P4mm, No. 99. As for the magnetization: 0.00 Bohr magnetons per cell. Its formation energy is -0.02 eV per atom. Its volume is 136.3 Å³/cell.


## Nd4YIn (PBE)

Data for a relaxed structure of Nd4YIn.

a = 3.6623 Å, b = 3.6623 Å, c = 14.7166 Å
α = 90.00°, β = 90.00°, γ = 90.00°
Fractional coordinates of all 6 atoms:
Nd 0.0000 0.0000 0.1462
Nd 0.0000 0.0000 0.8538
Nd 0.5000 0.5000 0.3257
Nd 0.5000 0.5000 0.6743
Y 0.0000 0.0000 0.5000
In 0.5000 0.5000 0.0000

Output
Its density of states at the Fermi level is 7.6 states/eV/cell. The total energy is -4.853 eV per atom. The space-group type is P4/mmm, No. 123. As for the magnetization: 0.00 Bohr magnetons per cell. Its formation energy is -0.14 eV per atom. Its volume is 197.4 Å³/cell.